Here is SiSBr after structural relaxation from Alexandria. Energies are from PBE.

N(E_F) in states/eV/cell: 3.43
Uncorrected formation energy in eV/atom: -0.26
Space group: No. 145
Excess energy over the best structure of this formula in the dataset in meV/atom: 393

Unit cell a=7.583 b=7.583 c=7.314 alpha=90.00 beta=90.00 gamma=120.00
Element x y z (fractional)
Si: 0.206 0.420 0.000
Si: 0.214 0.794 0.333
Si: 0.580 0.786 0.667
S: 0.100 0.622 0.083
S: 0.378 0.479 0.749
S: 0.521 0.900 0.416
Br: 0.365 0.349 0.223
Br: 0.651 0.015 0.890
Br: 0.985 0.635 0.556

---

Here is LaSbSe4 after structural relaxation from Alexandria. Energies are from PBE.

N(E_F) in states/eV/cell: 1.35
Uncorrected formation energy in eV/atom: -0.86
Space group: No. 15
Excess energy over the best structure of this formula in the dataset in meV/atom: 0

Unit cell a=7.706 b=7.706 c=7.536 alpha=111.07 beta=111.07 gamma=57.86
Element x y z (fractional)
La: 0.204 0.796 0.750
La: 0.796 0.204 0.250
Sb: 0.000 0.500 0.000
Sb: 0.500 0.000 0.500
Se: 0.122 0.183 0.647
Se: 0.183 0.122 0.147
Se: 0.399 0.402 0.912
Se: 0.402 0.399 0.412
Se: 0.598 0.601 0.588
Se: 0.601 0.598 0.088
Se: 0.817 0.878 0.853
Se: 0.878 0.817 0.353

---

Here is La5PaN4 after structural relaxation from Alexandria. Energies are from PBE.

N(E_F) in states/eV/cell: 9.31
Uncorrected formation energy in eV/atom: -1.14
Space group: No. 12

Unit cell a=8.276 b=8.276 c=7.517 alpha=100.98 beta=100.98 gamma=25.36
Element x y z (fractional)
La: 0.000 0.000 0.000
La: 0.333 0.333 0.656
La: 0.345 0.345 0.193
La: 0.655 0.655 0.807
La: 0.667 0.667 0.344
Pa: 0.000 0.000 0.500
N: 0.151 0.151 0.570
N: 0.497 0.497 0.708
N: 0.503 0.503 0.292
N: 0.849 0.849 0.430

---

Here is NaCoN3 after structural relaxation from Alexandria. Energies are from PBE.

N(E_F) in states/eV/cell: 4.90
Uncorrected formation energy in eV/atom: 1.29
Space group: No. 221

Unit cell a=3.701 b=3.701 c=3.701 alpha=90.00 beta=90.00 gamma=90.00
Element x y z (fractional)
Na: 0.000 0.000 0.000
Co: 0.500 0.500 0.500
N: 0.000 0.500 0.500
N: 0.500 0.000 0.500
N: 0.500 0.500 0.000

---

Here is KRu2 after structural relaxation from Alexandria. Energies are from PBE.

N(E_F) in states/eV/cell: 4.15
Space group: No. 164
Formation energy in eV per atom: 0.984

Unit cell a=3.998 b=3.998 c=5.688 alpha=90.00 beta=90.00 gamma=120.00
Element x y z (fractional)
K: 0.000 0.000 0.000
Ru: 0.333 0.667 0.463
Ru: 0.667 0.333 0.537

---

Here is SiSbCl after structural relaxation from Alexandria. Energies are from PBE.

N(E_F) in states/eV/cell: 1.22
Uncorrected formation energy in eV/atom: 0.21
Space group: No. 42
Excess energy over the best structure of this formula in the dataset in meV/atom: 367

Unit cell a=7.842 b=7.505 c=3.309 alpha=83.32 beta=71.91 gamma=24.78
Element x y z (fractional)
Si: 0.000 0.000 0.000
Sb: 0.651 0.651 0.349
Cl: 0.374 0.374 0.626

---

Here is CsRbP2Cl after structural relaxation from Alexandria. Energies are from PBE.

N(E_F) in states/eV/cell: 2.97
Uncorrected formation energy in eV/atom: 0.31
Space group: No. 123
Excess energy over the best structure of this formula in the dataset in meV/atom: 0

Unit cell a=6.496 b=6.496 c=6.205 alpha=90.00 beta=90.00 gamma=90.00
Element x y z (fractional)
Cs: 0.000 0.000 0.000
Rb: 0.500 0.500 0.500
P: 0.000 0.500 0.500
P: 0.500 0.000 0.500
Cl: 0.500 0.500 0.000

---

Here is CuSnIrPt after structural relaxation from Alexandria. Energies are from PBE.

N(E_F) in states/eV/cell: 3.00
Space group: No. 216
Formation energy in eV per atom: -0.121

Unit cell a=4.466 b=4.466 c=4.466 alpha=60.00 beta=60.00 gamma=60.00
Element x y z (fractional)
Cu: 0.000 0.000 0.000
Sn: 0.500 0.500 0.500
Ir: 0.250 0.250 0.250
Pt: 0.750 0.750 0.750

---

Here is Dy2ScIn after structural relaxation from Alexandria. Energies are from PBE.

N(E_F) in states/eV/cell: 6.16
Space group: No. 225
Formation energy in eV per atom: -0.159
Excess energy over the best structure of this formula in the dataset in meV/atom: 102

Unit cell a=5.341 b=5.341 c=5.341 alpha=60.00 beta=60.00 gamma=60.00
Element x y z (fractional)
Dy: 0.250 0.250 0.250
Dy: 0.750 0.750 0.750
Sc: 0.000 0.000 0.000
In: 0.500 0.500 0.500

---

Here is CdIn2NiBr after structural relaxation from Alexandria. Energies are from PBE.

N(E_F) in states/eV/cell: 1.82
Uncorrected formation energy in eV/atom: -0.22
Space group: No. 123

Unit cell a=5.043 b=5.043 c=5.133 alpha=90.00 beta=90.00 gamma=90.00
Element x y z (fractional)
Cd: 0.000 0.000 0.000
In: 0.000 0.500 0.500
In: 0.500 0.000 0.500
Ni: 0.000 0.000 0.500
Br: 0.500 0.500 0.000

---

N(E_F) of number 10 (CdIn2NiBr)?
1.82 states/eV/cell

---

Which of these has the highest N(E_F)?
La5PaN4